Material: RbLaGa2Au
Method: DFT, PBE-GGA
State: optimized geometry

The structure in extended XYZ format:
```
5
Lattice="5.983 0.000 0.000 0.000 5.983 0.000 0.000 0.000 5.789" Properties=species:S:1:pos:R:3 pbc="T T T"
Rb 0.000 0.000 0.000
La 2.991 2.991 2.894
Ga 0.000 2.991 2.894
Ga 2.991 0.000 2.894
Au 2.991 2.991 0.000
```

Output
energy	-0.104	Ha/atom
density	4.5	g/cm³
total magnetic moment	0.0	μB per cell
E_form	0.202	eV per atom